The following is a DFT calculation (PBE-GGA) of a relaxed structure of CuTc2.

Summary:
The value obtained for the magnetic moment is 0.000 Bohr magnetons per cell. The value obtained for the density of states at the Fermi level is 5.8 states/eV per cell. For the theoretical density, the calculation gives 10.297 g/cm3. The formation energy is 0.136 eV/atom. The calculation puts the volume at 84 Å³ per cell. As for the symmetry: Cmcm (63). The calculation puts the total energy at -48.842 eV/cell.

Cell: 7.2293 7.2293 4.3329 Å, 90.00 90.00 158.31°
With the nearest neighbours (Å) after each atom.
Sites, in units of the cell vectors:
Cu: 0.2254 0.7746 0.7500  6 Cu 2.65-2.72, 6 Tc 2.70-2.79
Cu: 0.7746 0.2254 0.2500  6 Cu 2.65-2.72, 6 Tc 2.70-2.79
Tc: 0.1107 0.8893 0.2500  8 Tc 2.68-2.72, 4 Cu 2.70-2.71
Tc: 0.4461 0.5539 0.2500  10 Tc 2.65-2.72, 2 Cu 2.79
Tc: 0.5539 0.4461 0.7500  10 Tc 2.65-2.72, 2 Cu 2.79
Tc: 0.8893 0.1107 0.7500  8 Tc 2.68-2.72, 4 Cu 2.70-2.71



The following is a DFT calculation (PBE-GGA) of a relaxed structure of AcLaPbN.

Summary:
The value obtained for the magnetic moment is 0.000 Bohr magnetons per cell. The value obtained for the density of states at the Fermi level is 7.9 states/eV per cell. For the uncorrected formation energy, the calculation gives -3.634 eV per formula unit. For the theoretical density, the calculation gives 8.253 g/cm3. The calculation puts the volume at 236 Å³ per cell. As for the symmetry: P4/nmm (129). The calculation puts the total energy at -49.407 eV/cell.

Cell: 4.9376 4.9376 9.6911 Å, 90.00 90.00 90.00°
With the nearest neighbours (Å) after each atom.
Sites, in units of the cell vectors:
Ac: 0.2500 0.2500 0.1731  1 N 2.42
Ac: 0.7500 0.7500 0.8269  1 N 2.42
La: 0.2500 0.7500 0.5000  4 N 2.58
La: 0.7500 0.2500 0.5000  4 N 2.58
Pb: 0.2500 0.2500 0.7934  5 Ac 3.51-3.68, 1 N 3.59, 4 La 3.77
Pb: 0.7500 0.7500 0.2066  5 Ac 3.51-3.68, 1 N 3.59, 4 La 3.77
N: 0.2500 0.2500 0.4229  1 Ac 2.42, 4 La 2.58
N: 0.7500 0.7500 0.5771  1 Ac 2.42, 4 La 2.58



The following is a DFT calculation (PBE-GGA) of a relaxed structure of La2MgRuPb.

Summary:
The value obtained for the magnetic moment is 0.000 Bohr magnetons per cell. The value obtained for the density of states at the Fermi level is 3.5 states/eV per cell. For the theoretical density, the calculation gives 6.872 g/cm3. The formation energy is -0.323 eV/atom. The calculation puts the volume at 147 Å³ per cell. As for the symmetry: P4/mmm (123). The calculation puts the total energy at -26.047 eV/cell.

Cell: 5.3401 5.3401 5.1719 Å, 90.00 90.00 90.00°
With the nearest neighbours (Å) after each atom.
Sites, in units of the cell vectors:
La: 0.0000 0.5000 0.0000  2 Ru 2.67
La: 0.5000 0.0000 0.0000  2 Ru 2.67
Mg: 0.0000 0.0000 0.5000  2 Ru 2.59
Ru: 0.0000 0.0000 0.0000  2 Mg 2.59, 4 La 2.67
Pb: 0.5000 0.5000 0.5000  8 La 3.72, 4 Mg 3.78